(1)
A relaxed NaTaFeSi crystal. Source: OQMD via LeMat-Bulk, functional PBE-GGA.

Unit cell a=4.4378 b=4.4378 c=4.4378 alpha=60.00 beta=60.00 gamma=60.00
Element x y z (fractional)
Ta: 0.2500 0.2500 0.2500
Fe: 0.5000 0.5000 0.5000
Na: 0.7500 0.7500 0.7500
Si: 0.0000 0.0000 0.0000

Output
raw total energy: -25.4 eV/cell
total magnetic moment: 1.4 μB/f.u.



(2)
A relaxed Tb2Pm2W crystal. Source: OQMD via LeMat-Bulk, functional PBE-GGA.

Unit cell a=5.6834 b=11.4850 c=4.7057 alpha=90.00 beta=90.00 gamma=90.00
Element x y z (fractional)
W: 0.0000 0.0000 0.0000
Tb: 0.6744 0.3850 0.5000
W: 0.5000 0.5000 0.0000
Pm: 0.8750 0.6511 0.0000
Tb: 0.1744 0.1150 0.5000
Pm: 0.6250 0.1511 0.0000
Tb: 0.3256 0.6150 0.5000
Pm: 0.1250 0.3489 0.0000
Tb: 0.8256 0.8850 0.5000
Pm: 0.3750 0.8489 0.0000

Output
ΔE_f: 0.447 eV/atom
raw total energy: -59.0 eV/cell
total magnetic moment: 0.0 μB/f.u.



(3)
A relaxed Sr2Zr2NO5 crystal. Source: OQMD via LeMat-Bulk, functional PBE-GGA.

Unit cell a=4.1650 b=4.1650 c=8.4273 alpha=90.00 beta=90.00 gamma=90.00
Site moments in Bohr magnetons follow the coordinates.
Element x y z (fractional)
O: 0.5000 0.0000 0.2460  0.10
O: 0.0000 0.5000 0.7540  0.04
Zr: 0.0000 0.0000 0.7510  -0.02
Zr: 0.0000 0.0000 0.2490  -0.02
Sr: 0.5000 0.5000 0.0000  0.00
N: 0.0000 0.0000 0.5000  0.45
Sr: 0.5000 0.5000 0.5000  0.00
O: 0.0000 0.0000 0.0000  0.05
O: 0.0000 0.5000 0.2460  0.04
O: 0.5000 0.0000 0.7540  0.10

Output
raw total energy: -80.0 eV/cell
total magnetic moment: 1.0 μB/f.u.



(4)
A relaxed DyAlMo crystal. Source: OQMD via LeMat-Bulk, functional PBE-GGA.

Unit cell a=4.5903 b=4.5903 c=4.5903 alpha=60.00 beta=60.00 gamma=60.00
Element x y z (fractional)
Al: 0.2500 0.2500 0.2500
Mo: 0.0000 0.0000 0.0000
Dy: 0.7500 0.7500 0.7500

Output
raw total energy: -17.3 eV/cell
total magnetic moment: 1.5 μB/f.u.



(5)
A relaxed NaGdNO crystal. Source: OQMD via LeMat-Bulk, functional PBE-GGA.

Unit cell a=3.8012 b=3.8012 c=8.2000 alpha=90.00 beta=90.00 gamma=90.00
Element x y z (fractional)
O: 0.2500 0.7500 0.0000
N: 0.2500 0.2500 0.6828
Na: 0.2500 0.7500 0.5000
N: 0.7500 0.7500 0.3172
Gd: 0.2500 0.2500 0.1441
Gd: 0.7500 0.7500 0.8559
O: 0.7500 0.2500 0.0000
Na: 0.7500 0.2500 0.5000

Output
raw total energy: -47.4 eV/cell
total magnetic moment: 1.0 μB/f.u.



(6)
A relaxed ErHSO5 crystal. Source: OQMD via LeMat-Bulk, functional PBE-GGA.

Unit cell a=7.8626 b=10.7214 c=10.7721 alpha=90.00 beta=132.45 gamma=90.00
Element x y z (fractional)
O: 0.6796 0.2356 0.2999
O: 0.2258 0.6246 0.3471
O: 0.6005 0.8950 0.9352
Er: 0.2155 0.0591 0.3739
O: 0.1265 0.1752 0.4934
H: 0.0462 0.1265 0.8815
S: 0.8639 0.6712 0.8652
O: 0.8735 0.6752 0.0066
O: 0.9678 0.4500 0.3683
H: 0.9538 0.8735 0.1185
O: 0.6796 0.2644 0.7999
H: 0.4469 0.9077 0.6443
H: 0.9538 0.6265 0.6185
H: 0.5531 0.4077 0.8557
O: 0.5154 0.2986 0.0227
O: 0.4864 0.4857 0.8543
O: 0.3204 0.7356 0.2001
S: 0.1361 0.1712 0.6348
O: 0.1265 0.3248 0.9934
O: 0.0322 0.5500 0.6317
O: 0.4846 0.7014 0.9773
S: 0.5921 0.3090 0.6352
O: 0.3204 0.7644 0.7001
O: 0.7742 0.3754 0.6529
O: 0.0495 0.5938 0.9045
O: 0.6005 0.6050 0.4352
Er: 0.2155 0.4409 0.8739
Er: 0.7255 0.0740 0.9130
O: 0.9005 0.8029 0.8402
S: 0.4079 0.8090 0.8648
H: 0.5531 0.0923 0.3557
S: 0.5921 0.1910 0.1352
H: 0.0462 0.3735 0.3815
O: 0.9678 0.0500 0.8683
O: 0.0995 0.3029 0.6598
Er: 0.7845 0.5591 0.1261
O: 0.2258 0.8754 0.8471
O: 0.0495 0.9062 0.4045
O: 0.4846 0.7986 0.4773
H: 0.4469 0.5923 0.1443
S: 0.8639 0.8288 0.3652
O: 0.5154 0.2014 0.5227
O: 0.0995 0.1971 0.1598
S: 0.4079 0.6910 0.3648
Er: 0.7255 0.4260 0.4130
Er: 0.7845 0.9409 0.6261
O: 0.3995 0.3950 0.5648
O: 0.0322 0.9500 0.1317
S: 0.1361 0.3288 0.1348
O: 0.3593 0.1234 0.7860
O: 0.5136 0.9857 0.6457
O: 0.9505 0.0938 0.5955
O: 0.6407 0.8766 0.2140
Er: 0.2745 0.5740 0.5870
O: 0.9005 0.6971 0.3402
Er: 0.2745 0.9260 0.0870
O: 0.5136 0.5143 0.1457
O: 0.9505 0.4062 0.0955
O: 0.3995 0.1050 0.0648
O: 0.4864 0.0143 0.3543
O: 0.3593 0.3766 0.2860
O: 0.8735 0.8248 0.5066
O: 0.6407 0.6234 0.7140
O: 0.7742 0.1246 0.1529

Output
raw total energy: -429.2 eV/cell
total magnetic moment: 0.0 μB/f.u.



(7)
A relaxed Tb2GdCo2B2As3 crystal. Source: OQMD via LeMat-Bulk, functional PBE-GGA.

Unit cell a=11.6718 b=11.6718 c=11.6718 alpha=160.51 beta=160.51 gamma=27.69
Element x y z (fractional)
B: 0.7815 0.7815 0.0000
As: 0.1255 0.1255 0.0000
B: 0.2185 0.2185 0.0000
As: 0.8745 0.8745 0.0000
As: 0.5000 0.5000 0.0000
Tb: 0.6442 0.6442 0.0000
Tb: 0.3558 0.3558 0.0000
Gd: 0.0000 0.0000 0.0000
Co: 0.2500 0.7500 0.5000
Co: 0.7500 0.2500 0.5000

Output
raw total energy: -63.0 eV/cell
total magnetic moment: 0.0 μB/f.u.



(8)
A relaxed CsAcTb crystal. Source: OQMD via LeMat-Bulk, functional PBE-GGA.

Unit cell a=5.8335 b=5.8335 c=5.8335 alpha=60.00 beta=60.00 gamma=60.00
Element x y z (fractional)
Ac: 0.5000 0.5000 0.5000
Tb: 0.0000 0.0000 0.0000
Cs: 0.2500 0.2500 0.2500

Output
raw total energy: -6.2 eV/cell
total magnetic moment: 0.0 μB/f.u.



(9)
A relaxed PrNi2SnAs crystal. Source: OQMD via LeMat-Bulk, functional PBE-GGA.

Unit cell a=4.3822 b=4.3822 c=9.7521 alpha=90.00 beta=90.00 gamma=90.00
Element x y z (fractional)
Pr: 0.5000 0.0000 0.7388
Pr: 0.0000 0.5000 0.2612
Ni: 0.0000 0.5000 0.6003
Ni: 0.5000 0.5000 0.0000
Sn: 0.0000 0.5000 0.8651
As: 0.0000 0.0000 0.5000
Sn: 0.5000 0.0000 0.1349
Ni: 0.5000 0.0000 0.3997
Ni: 0.0000 0.0000 0.0000
As: 0.5000 0.5000 0.5000

Output
raw total energy: -55.8 eV/cell
total magnetic moment: 0.0 μB/f.u.



(10)
A relaxed LaGaCu2Pb crystal. Source: OQMD via LeMat-Bulk, functional PBE-GGA.

Unit cell a=4.4514 b=4.4514 c=10.4955 alpha=90.00 beta=90.00 gamma=90.00
Element x y z (fractional)
La: 0.0000 0.5000 0.2621
Cu: 0.0000 0.0000 0.0000
Cu: 0.5000 0.5000 0.0000
Cu: 0.5000 0.0000 0.3920
Pb: 0.5000 0.0000 0.1415
Ga: 0.5000 0.5000 0.5000
La: 0.5000 0.0000 0.7379
Cu: 0.0000 0.5000 0.6080
Pb: 0.0000 0.5000 0.8585
Ga: 0.0000 0.0000 0.5000

Output
raw total energy: -41.5 eV/cell
total magnetic moment: 0.0 μB/f.u.



(11)
A relaxed HoNbCSe crystal. Source: OQMD via LeMat-Bulk, functional PBE-GGA.

Unit cell a=3.5405 b=3.5405 c=12.6366 alpha=90.00 beta=90.00 gamma=120.00
Element x y z (fractional)
Nb: 0.3333 0.6667 0.4193
C: 0.0000 0.0000 0.0000
Ho: 0.6667 0.3333 0.8941
Nb: 0.6667 0.3333 0.5807
Ho: 0.3333 0.6667 0.1059
C: 0.0000 0.0000 0.5000
Se: 0.3333 0.6667 0.7270
Se: 0.6667 0.3333 0.2730

Output
raw total energy: -61.7 eV/cell
total magnetic moment: 0.0 μB/f.u.



(12)
A relaxed NdGdTl crystal. Source: OQMD via LeMat-Bulk, functional PBE-GGA.

Unit cell a=5.5110 b=5.5110 c=6.8432 alpha=90.00 beta=90.00 gamma=120.00
Site moments in Bohr magnetons follow the coordinates.
Element x y z (fractional)
Gd: 0.6667 0.3333 0.7500  0.20
Gd: 0.3333 0.6667 0.2500  0.20
Nd: 0.0000 0.0000 0.0000  0.23
Nd: 0.0000 0.0000 0.5000  0.23
Tl: 0.3333 0.6667 0.7500  0.00
Tl: 0.6667 0.3333 0.2500  0.00

Output
raw total energy: -25.2 eV/cell
total magnetic moment: 0.7 μB/f.u.



total magnetic moment of number 7 (Tb2GdCo2B2As3)? 0.0 μB/f.u.



Which of these has the lowest raw total energy? ErHSO5



Which of these has the highest total magnetic moment? DyAlMo



Look up the total magnetic moment of the first one. 1.4 μB/f.u.